POs2Ru: single point on PBEsol structure, SCAN.

Properties
size of the total moment: 0.000 μB/atom
calculated density: 16109 kg/m³
space group: R3m
energy of formation: 0.15 eV/f.u.
energy: -47.21 eV per atom

Cell: 2.7524 2.7524 8.2079 Å, 80.35 80.35 60.00°
Last column: nearest neighbours and their distance in Å.
Sites, in units of the cell vectors:
Os 0.9999 0.9999 0.0004  9 Os 2.71-2.75, 3 Ru 2.71
Os 0.7572 0.7572 0.7285  3 P 2.45, 3 Os 2.71
P 0.5009 0.5009 0.4973  3 Ru 2.40, 3 Os 2.45
Ru 0.2421 0.2421 0.2738  3 P 2.40